Record 1
An optimized crystal structure of Ce4Te2C, computed with PBE.

abc: 4.803 4.803 16.326
angles: 90.00 90.00 90.00
Space group I4/mmm (No. 139)
Unique sites:
Ce1 0.000 0.000 0.157 [4 per cell]
Ce2 0.000 0.500 0.000 [4 per cell]
Te1 0.000 0.000 0.358 [4 per cell]
C1 0.000 0.000 0.000 [2 per cell]

Computed properties:
Energy above the lowest structure with this stoichiometry in meV/atom: 0.0
Crystal system: tetragonal
Formation energy (no corrections) in eV per atom: -0.797

Record 2
An optimized crystal structure of Ca2MgSn5, computed with PBE.

abc: 6.587 13.173 4.867
angles: 90.00 90.00 90.00
Space group Pbam (No. 55)
Unique sites:
Ca1 0.222 0.132 0.000 [4 per cell]
Mg1 0.000 0.500 0.500 [2 per cell]
Sn1 0.000 0.000 0.500 [2 per cell]
Sn2 0.019 0.744 0.500 [4 per cell]
Sn3 0.222 0.383 0.000 [4 per cell]

Computed properties:
Crystal system: orthorhombic
Raw total energy in eV/atom: -3.594

Record 3
An optimized crystal structure of PmTmMg6, computed with PBE.

abc: 5.099 7.313 10.940
angles: 90.00 90.00 90.00
Space group Amm2 (No. 38)
Unique sites:
Pm1 0.000 0.000 0.000 [2 per cell]
Tm1 0.500 0.000 0.264 [2 per cell]
Mg1 0.000 0.000 0.461 [2 per cell]
Mg2 0.000 0.218 0.732 [4 per cell]
Mg3 0.500 0.000 0.798 [2 per cell]
Mg4 0.500 0.216 0.531 [4 per cell]

Computed properties:
Crystal system: orthorhombic
Raw total energy in eV/atom: -2.419

Record 4
An optimized crystal structure of Pm2Ga6Rh, computed with PBE.

abc: 8.0098 8.0098 3.4922
angles: 90.00 90.00 120.00
Space group P-62m (No. 189)
Unique sites:
Pm1 0.3333 0.6667 0.0000 [2 per cell]
Ga1 0.0000 0.3245 0.5000 [3 per cell]
Ga2 0.0000 0.7581 0.0000 [3 per cell]
Rh1 0.0000 0.0000 0.5000 [1 per cell]

Computed properties:
Energy above the lowest structure with this stoichiometry in meV/atom: 366.4
Crystal system: hexagonal

Record 5
An optimized crystal structure of ZrIr3, computed with PBE.

abc: 5.664 7.761 2.897
angles: 90.00 90.00 90.00
Space group Cmmm (No. 65)
Unique sites:
Zr1 0.000 0.000 0.000 [2 per cell]
Ir1 0.000 0.500 0.000 [2 per cell]
Ir2 0.250 0.250 0.500 [4 per cell]

Computed properties:
Crystal system: orthorhombic
Raw total energy in eV/atom: -9.246

Record 6
An optimized crystal structure of PrTm2Pd, computed with PBE.

abc: 7.100 9.649 6.521
angles: 90.00 90.00 90.00
Space group Pnma (No. 62)
Unique sites:
Pr1 0.013 0.250 0.134 [4 per cell]
Tm1 0.178 0.061 0.672 [8 per cell]
Pd1 0.112 0.750 0.419 [4 per cell]

Computed properties:
Energy above the lowest structure with this stoichiometry in meV/atom: 0.0
Crystal system: orthorhombic

Record 7
An optimized crystal structure of Li2Mg2Rh, computed with PBE.

abc: 6.265 6.265 4.179
angles: 90.00 90.00 90.00
Space group P4/mbm (No. 127)
Unique sites:
Li1 0.131 0.369 0.000 [4 per cell]
Mg1 0.191 0.691 0.500 [4 per cell]
Rh1 0.000 0.000 0.000 [2 per cell]

Computed properties:
Energy above the lowest structure with this stoichiometry in meV/atom: 179.7
Crystal system: tetragonal

Record 8
An optimized crystal structure of MoAs2Se, computed with PBE.

abc: 9.166 3.205 5.680
angles: 90.00 105.29 90.00
Space group Cm (No. 8)
Unique sites:
Mo1 0.000 0.000 0.000 [2 per cell]
As1 0.066 0.500 0.383 [2 per cell]
As2 0.215 0.500 0.005 [2 per cell]
Se1 0.375 0.000 0.647 [2 per cell]

Computed properties:
Crystal system: monoclinic
Formation energy (no corrections) in eV per atom: -0.065

Record 9
An optimized crystal structure of SmYAlPd, computed with PBE.

abc: 4.473 3.846 11.361
angles: 90.00 90.00 90.00
Space group Amm2 (No. 38)
Unique sites:
Sm1 0.000 0.000 0.000 [2 per cell]
Y1 0.500 0.000 0.291 [2 per cell]
Al1 0.000 0.000 0.719 [2 per cell]
Pd1 0.500 0.000 0.580 [2 per cell]

Computed properties:
Energy above the lowest structure with this stoichiometry in meV/atom: 0.0
Crystal system: orthorhombic

Record 10
An optimized crystal structure of DyYSc, computed with PBE.

abc: 3.473 6.001 9.118
angles: 76.90 79.06 73.20
Space group P-1 (No. 2)
Unique sites:
Dy1 0.000 0.236 0.262 [2 per cell]
Y1 0.332 0.745 0.090 [2 per cell]
Sc1 0.330 0.261 0.579 [2 per cell]

Computed properties:
Energy above the lowest structure with this stoichiometry in meV/atom: 13.8
Crystal system: triclinic

Record 11
An optimized crystal structure of CoHS2, computed with PBE.

abc: 3.4025 3.4025 16.4453
angles: 90.00 90.00 120.00
Space group R-3m (No. 166, hexagonal axes)
Unique sites:
Co1 0.0000 0.0000 0.0000 [3 per cell]
H1 0.0000 0.0000 0.5000 [3 per cell]
S1 0.0000 0.0000 0.4005 [6 per cell]

Computed properties:
Energy above the lowest structure with this stoichiometry in meV/atom: 26.0
Crystal system: trigonal

Record 12
An optimized crystal structure of ZrTaTc2, computed with PBE.

abc: 2.923 4.543 5.267
angles: 90.00 102.07 90.00
Space group Pm (No. 6)
Unique sites:
Zr1 0.000 0.000 0.000 [1 per cell]
Ta1 0.718 0.500 0.273 [1 per cell]
Tc1 0.238 0.500 0.763 [1 per cell]
Tc2 0.490 0.000 0.502 [1 per cell]

Computed properties:
Crystal system: monoclinic
Raw total energy in eV/atom: -10.427